Record 1
Dy2PuThS4: optimized geometry, PBE.

CIF file:
```
data_Dy2PuThS4
_cell_length_a 6.8174
_cell_length_b 3.9199
_cell_length_c 6.9203
_cell_angle_alpha 90.00
_cell_angle_beta 109.06
_cell_angle_gamma 90.00
_symmetry_space_group_name_H-M 'P 1'
_symmetry_Int_Tables_number 1
loop_
_symmetry_equiv_pos_as_xyz
'x,y,z'
loop_
_atom_site_label
_atom_site_fract_x
_atom_site_fract_y
_atom_site_fract_z
Dy1 0.0000 0.0000 0.0000
Dy2 0.5000 0.5000 0.0000
Pu1 0.0000 0.5000 0.5000
Th1 0.5000 0.0000 0.5000
S1 0.2426 0.5000 0.2383
S2 0.2488 0.0000 0.7576
S3 0.7512 0.0000 0.2424
S4 0.7574 0.5000 0.7617
```

Output
Spin magnetization ... 5.69 μB per cell
ΔE_f (raw) ... -1.90 eV/atom

Record 2
Dy3PuTh4S8: optimized geometry, PBE.

CIF file:
```
data_Dy3PuTh4S8
_cell_length_a 8.0671
_cell_length_b 8.0671
_cell_length_c 8.0671
_cell_angle_alpha 58.22
_cell_angle_beta 58.22
_cell_angle_gamma 58.22
_symmetry_space_group_name_H-M 'P 1'
_symmetry_Int_Tables_number 1
loop_
_symmetry_equiv_pos_as_xyz
'x,y,z'
loop_
_atom_site_label
_atom_site_fract_x
_atom_site_fract_y
_atom_site_fract_z
Dy1 0.0000 0.5000 0.5000
Dy2 0.5000 0.0000 0.5000
Dy3 0.5000 0.5000 0.0000
Pu1 0.0000 0.0000 0.0000
Th1 0.0000 0.0000 0.5000
Th2 0.0000 0.5000 0.0000
Th3 0.5000 0.0000 0.0000
Th4 0.5000 0.5000 0.5000
S1 0.2463 0.2463 0.7432
S2 0.2463 0.7432 0.2463
S3 0.2551 0.2551 0.2551
S4 0.2568 0.7537 0.7537
S5 0.7432 0.2463 0.2463
S6 0.7449 0.7449 0.7449
S7 0.7537 0.2568 0.7537
S8 0.7537 0.7537 0.2568
```

Output
Spin magnetization ... 5.24 μB per cell
ΔE_f (raw) ... -1.89 eV/atom

Record 3
DyPu2ThS4: optimized geometry, PBE.

CIF file:
```
data_DyPu2ThS4
_cell_length_a 6.8689
_cell_length_b 3.9444
_cell_length_c 6.8838
_cell_angle_alpha 90.00
_cell_angle_beta 109.21
_cell_angle_gamma 90.00
_symmetry_space_group_name_H-M 'P 1'
_symmetry_Int_Tables_number 1
loop_
_symmetry_equiv_pos_as_xyz
'x,y,z'
loop_
_atom_site_label
_atom_site_fract_x
_atom_site_fract_y
_atom_site_fract_z
Dy1 0.0000 0.0000 0.0000
Pu1 0.5000 0.0000 0.5000
Pu2 0.5000 0.5000 0.0000
Th1 0.0000 0.5000 0.5000
S1 0.2508 0.5000 0.2440
S2 0.2565 0.0000 0.7589
S3 0.7435 0.0000 0.2411
S4 0.7492 0.5000 0.7560
```

Output
Spin magnetization ... 11.28 μB per cell
ΔE_f (raw) ... -1.86 eV/atom

Record 4
Dy2PuTh3S6: optimized geometry, PBE.

CIF file:
```
data_Dy2PuTh3S6
_cell_length_a 8.9739
_cell_length_b 8.9739
_cell_length_c 8.0144
_cell_angle_alpha 105.03
_cell_angle_beta 105.03
_cell_angle_gamma 25.45
_symmetry_space_group_name_H-M 'P 1'
_symmetry_Int_Tables_number 1
loop_
_symmetry_equiv_pos_as_xyz
'x,y,z'
loop_
_atom_site_label
_atom_site_fract_x
_atom_site_fract_y
_atom_site_fract_z
Dy1 0.1653 0.1653 0.3312
Dy2 0.8347 0.8347 0.6688
Pu1 0.5000 0.5000 0.0000
Th1 0.1664 0.1664 0.8353
Th2 0.5000 0.5000 0.5000
Th3 0.8336 0.8336 0.1647
S1 0.0033 0.0033 0.2432
S2 0.3295 0.3295 0.4245
S3 0.3358 0.3358 0.9070
S4 0.6642 0.6642 0.0930
S5 0.6705 0.6705 0.5755
S6 0.9967 0.9967 0.7568
```

Output
Spin magnetization ... 5.06 μB per cell
ΔE_f (raw) ... -1.88 eV/atom

Record 5
Dy2Pu3ThS6: optimized geometry, PBE.

CIF file:
```
data_Dy2Pu3ThS6
_cell_length_a 8.8298
_cell_length_b 8.8298
_cell_length_c 7.9040
_cell_angle_alpha 102.18
_cell_angle_beta 102.18
_cell_angle_gamma 25.81
_symmetry_space_group_name_H-M 'P 1'
_symmetry_Int_Tables_number 1
loop_
_symmetry_equiv_pos_as_xyz
'x,y,z'
loop_
_atom_site_label
_atom_site_fract_x
_atom_site_fract_y
_atom_site_fract_z
Dy1 0.1672 0.1672 0.3377
Dy2 0.8328 0.8328 0.6623
Pu1 0.1651 0.1651 0.8356
Pu2 0.5000 0.5000 0.5000
Pu3 0.8349 0.8349 0.1644
Th1 0.5000 0.5000 0.0000
S1 0.0026 0.0026 0.2590
S2 0.3299 0.3299 0.9104
S3 0.3320 0.3320 0.4164
S4 0.6680 0.6680 0.5836
S5 0.6701 0.6701 0.0896
S6 0.9974 0.9974 0.7410
```

Output
Spin magnetization ... 5.81 μB per cell
ΔE_f (raw) ... -1.88 eV/atom

Record 6
Dy3PuTl4S8: optimized geometry, PBE.

CIF file:
```
data_Dy3PuTl4S8
_cell_length_a 8.8400
_cell_length_b 8.8400
_cell_length_c 8.8400
_cell_angle_alpha 54.52
_cell_angle_beta 54.52
_cell_angle_gamma 54.52
_symmetry_space_group_name_H-M 'P 1'
_symmetry_Int_Tables_number 1
loop_
_symmetry_equiv_pos_as_xyz
'x,y,z'
loop_
_atom_site_label
_atom_site_fract_x
_atom_site_fract_y
_atom_site_fract_z
Dy1 0.0000 0.5000 0.5000
Dy2 0.5000 0.0000 0.5000
Dy3 0.5000 0.5000 0.0000
Pu1 0.0000 0.0000 0.0000
Tl1 0.0000 0.0000 0.5000
Tl2 0.0000 0.5000 0.0000
Tl3 0.5000 0.0000 0.0000
Tl4 0.5000 0.5000 0.5000
S1 0.2338 0.2338 0.7300
S2 0.2338 0.7300 0.2338
S3 0.2674 0.2674 0.2674
S4 0.2700 0.7662 0.7662
S5 0.7300 0.2338 0.2338
S6 0.7326 0.7326 0.7326
S7 0.7662 0.2700 0.7662
S8 0.7662 0.7662 0.2700
```

Output
Spin magnetization ... 5.00 μB per cell
ΔE_f (raw) ... -1.41 eV/atom

Record 7
Dy2PuTl3S6: optimized geometry, PBE.

CIF file:
```
data_Dy2PuTl3S6
_cell_length_a 7.0300
_cell_length_b 7.0300
_cell_length_c 7.8479
_cell_angle_alpha 98.59
_cell_angle_beta 98.59
_cell_angle_gamma 119.99
_symmetry_space_group_name_H-M 'P 1'
_symmetry_Int_Tables_number 1
loop_
_symmetry_equiv_pos_as_xyz
'x,y,z'
loop_
_atom_site_label
_atom_site_fract_x
_atom_site_fract_y
_atom_site_fract_z
Dy1 0.1667 0.8333 0.0000
Dy2 0.8333 0.1667 0.0000
Pu1 0.5000 0.5000 0.0000
Tl1 0.0000 0.0000 0.5000
Tl2 0.3334 0.6666 0.5000
Tl3 0.6666 0.3334 0.5000
S1 0.0979 0.4341 0.8023
S2 0.2296 0.2296 0.1973
S3 0.4341 0.0979 0.8023
S4 0.5659 0.9021 0.1977
S5 0.7704 0.7704 0.8027
S6 0.9021 0.5659 0.1977
```

Output
Spin magnetization ... 5.00 μB per cell
ΔE_f (raw) ... -1.38 eV/atom

Record 8
DyPuTl2S4: optimized geometry, PBE.

CIF file:
```
data_DyPuTl2S4
_cell_length_a 7.0414
_cell_length_b 4.0636
_cell_length_c 7.8448
_cell_angle_alpha 90.00
_cell_angle_beta 107.43
_cell_angle_gamma 90.00
_symmetry_space_group_name_H-M 'P 1'
_symmetry_Int_Tables_number 1
loop_
_symmetry_equiv_pos_as_xyz
'x,y,z'
loop_
_atom_site_label
_atom_site_fract_x
_atom_site_fract_y
_atom_site_fract_z
Dy1 0.0000 0.0000 0.0000
Pu1 0.5000 0.5000 0.0000
Tl1 0.0000 0.5000 0.5000
Tl2 0.5000 0.0000 0.5000
S1 0.2297 0.5000 0.1980
S2 0.2670 0.0000 0.8042
S3 0.7330 0.0000 0.1958
S4 0.7703 0.5000 0.8020
```

Output
Spin magnetization ... 5.00 μB per cell
ΔE_f (raw) ... -1.34 eV/atom

Please write out number 5 again, unchanged.
Dy2Pu3ThS6: optimized geometry, PBE.

CIF file:
```
data_Dy2Pu3ThS6
_cell_length_a 8.8298
_cell_length_b 8.8298
_cell_length_c 7.9040
_cell_angle_alpha 102.18
_cell_angle_beta 102.18
_cell_angle_gamma 25.81
_symmetry_space_group_name_H-M 'P 1'
_symmetry_Int_Tables_number 1
loop_
_symmetry_equiv_pos_as_xyz
'x,y,z'
loop_
_atom_site_label
_atom_site_fract_x
_atom_site_fract_y
_atom_site_fract_z
Dy1 0.1672 0.1672 0.3377
Dy2 0.8328 0.8328 0.6623
Pu1 0.1651 0.1651 0.8356
Pu2 0.5000 0.5000 0.5000
Pu3 0.8349 0.8349 0.1644
Th1 0.5000 0.5000 0.0000
S1 0.0026 0.0026 0.2590
S2 0.3299 0.3299 0.9104
S3 0.3320 0.3320 0.4164
S4 0.6680 0.6680 0.5836
S5 0.6701 0.6701 0.0896
S6 0.9974 0.9974 0.7410
```

Output
Spin magnetization ... 5.81 μB per cell
ΔE_f (raw) ... -1.88 eV/atom

Number 2 is which compound?
Dy3PuTh4S8

Which value of ΔE_f (raw) does entry 2 give?
-1.89 eV/atom

Which formula does entry 7 have?
Dy2PuTl3S6